# Pr2DyHo6 | Alexandria via LeMat-Bulk | PBE-GGA | relaxed
# - Total magnetization: 0.00 μB/atom
# - DFT total energy: -4.419 eV per atom
# - Polymorph energy (0 for the lowest one): 93 meV/atom
# - Energy of formation: 1.858 eV per formula unit
# - Crystal system: monoclinic
data_Pr2DyHo6
_chemical_formula_sum 'Pr8 Dy4 Ho24'
_cell_length_a 14.250
_cell_length_b 14.155
_cell_length_c 6.418
_cell_angle_alpha 90.00
_cell_angle_beta 115.01
_cell_angle_gamma 90.00
_space_group_name_H-M_alt 'C 1 2/c 1'
_space_group_IT_number 15
loop_
_space_group_symop_operation_xyz
'x,y,z'
'-x,-y,-z'
'-x,y,-z+1/2'
'x,-y,z+1/2'
'x+1/2,y+1/2,z'
'-x+1/2,-y+1/2,-z'
'-x+1/2,y+1/2,-z+1/2'
'x+1/2,-y+1/2,z+1/2'
loop_
_atom_site_label
_atom_site_fract_x
_atom_site_fract_y
_atom_site_fract_z
Pr1 0.149 0.038 0.463
Dy1 0.000 0.369 0.250
Ho1 0.056 0.187 0.023
Ho2 0.126 0.428 0.944
Ho3 0.204 0.258 0.698